An optimized crystal structure of Ni2OsAu, computed with PBE-GGA.

Computed properties:
* energy above the most stable polymorph in this dataset: 236 meV/atom
* ΔE_f: 8.52 kcal/mol of atoms
* electronic total energy: -6.15 eV/atom
* density: 15.58 g/cm³
* N(E_F): 5.7 states/eV/f.u.

Lattice parameters (Å, degrees): 4.4975 4.4975 4.4975 128.80 128.80 75.33
Fractional positions:
Ni1 0.5000 0.5000 0.0000
Ni2 0.0000 0.0000 0.0000
Os1 0.2500 0.7500 0.5000
Au1 0.7500 0.2500 0.5000